DFT (PBE with a Hubbard U) results for a geometry-optimized MnZn2CrO4 structure.

Lattice parameters (Å, degrees): 4.4792 4.4792 8.6195 90.00 90.00 90.00
Space group I-4m2 (No. 119)
Symmetry-distinct sites (fractional):
Mn 0.0000 0.0000 0.0000 [2 per cell]
Zn 0.0000 0.0000 0.5000 [2 per cell]
Zn 0.0000 0.5000 0.7500 [2 per cell]
Cr 0.0000 0.5000 0.2500 [2 per cell]
O 0.0000 0.0000 0.2560 [4 per cell]
O 0.0000 0.5000 0.0052 [4 per cell]

## Properties
calculated total energy	-0.4462	Ry/atom
D(E_F)	0.05	states/eV/atom